First-principles (SCAN) data for a crystal of Zn3AgSe relaxed with PBEsol, as listed in Alexandria via LeMat-Bulk.

Calculated values
* uncorrected formation energy: 0.457 eV per atom
* energy above the lowest structure with this stoichiometry: 0 meV/atom

Geometry as extended XYZ:
```
5
Lattice="4.7745 0.0000 0.0000 0.0000 4.7745 0.0000 0.0000 0.0000 4.7745" Properties=species:S:1:pos:R:3 pbc="T T T"
Zn 0.0000 0.0000 2.3873
Zn 0.0000 2.3873 0.0000
Zn 2.3873 0.0000 0.0000
Ag 0.0000 0.0000 0.0000
Se 2.3873 2.3873 2.3873
```

---

First-principles (SCAN) data for a crystal of Zn3AgSe relaxed with PBEsol, as listed in Alexandria via LeMat-Bulk.

Calculated values
* uncorrected formation energy: 0.652 eV per atom
* energy above the lowest structure with this stoichiometry: 195 meV/atom

Geometry as extended XYZ:
```
5
Lattice="4.8265 0.0000 0.0000 0.0000 4.8265 0.0000 0.0000 0.0000 4.8265" Properties=species:S:1:pos:R:3 pbc="T T T"
Zn 0.0000 0.0000 2.4132
Zn 0.0000 2.4132 0.0000
Zn 2.4132 0.0000 0.0000
Ag 2.4132 2.4132 2.4132
Se 0.0000 0.0000 0.0000
```

---

First-principles (SCAN) data for a crystal of ZnAg2Se relaxed with PBEsol, as listed in Alexandria via LeMat-Bulk.

Calculated values
* uncorrected formation energy: 0.094 eV per atom
* energy above the lowest structure with this stoichiometry: 23 meV/atom

Geometry as extended XYZ:
```
8
Lattice="3.9672 0.0000 0.0000 0.0000 4.0346 0.0000 0.0000 0.0000 8.5074" Properties=species:S:1:pos:R:3 pbc="T T T"
Zn 0.0000 0.0000 0.0000
Zn 1.9836 2.0173 4.2537
Ag 0.0000 0.0000 4.2534
Ag 0.0000 2.0173 6.3561
Ag 1.9836 0.0000 2.1024
Ag 1.9836 2.0173 8.5070
Se 0.0000 2.0173 2.1631
Se 1.9836 0.0000 6.4168
```

---

First-principles (SCAN) data for a crystal of ZnAg3Se relaxed with PBEsol, as listed in Alexandria via LeMat-Bulk.

Calculated values
* uncorrected formation energy: 0.556 eV per atom

Geometry as extended XYZ:
```
5
Lattice="4.7276 0.0000 0.0000 0.0000 4.7276 0.0000 0.0000 0.0000 4.7276" Properties=species:S:1:pos:R:3 pbc="T T T"
Zn 0.0000 0.0000 0.0000
Ag 0.0000 0.0000 2.3638
Ag 0.0000 2.3638 0.0000
Ag 2.3638 0.0000 0.0000
Se 2.3638 2.3638 2.3638
```

---

First-principles (SCAN) data for a crystal of SiAg4 relaxed with PBEsol, as listed in Alexandria via LeMat-Bulk.

Calculated values
* uncorrected formation energy: 0.093 eV per atom
* energy above the lowest structure with this stoichiometry: 0 meV/atom

Geometry as extended XYZ:
```
10
Lattice="5.4062 0.0000 0.0000 0.0000 5.4062 0.0000 0.0000 0.0000 5.6950" Properties=species:S:1:pos:R:3 pbc="T T T"
Si 0.0000 0.0000 0.0000
Si 2.7031 2.7031 2.8475
Ag 0.7457 1.4111 1.9488
Ag 1.2920 1.9574 4.7963
Ag 1.4111 4.6605 3.7462
Ag 1.9574 4.1142 0.8987
Ag 3.4488 1.2920 0.8987
Ag 3.9951 0.7457 3.7462
Ag 4.1142 3.4488 4.7963
Ag 4.6605 3.9951 1.9488
```

---

First-principles (SCAN) data for a crystal of Si3Ag relaxed with PBEsol, as listed in Alexandria via LeMat-Bulk.

Calculated values
* uncorrected formation energy: 0.568 eV per atom
* energy above the lowest structure with this stoichiometry: 0 meV/atom

Geometry as extended XYZ:
```
16
Lattice="9.4262 0.0000 0.0000 0.0000 5.4587 0.0000 -2.5117 0.0000 4.9266" Properties=species:S:1:pos:R:3 pbc="T T T"
Si 0.0637 1.2197 1.2522
Si 0.0637 4.2390 1.2522
Si 0.0757 0.0000 3.6615
Si 2.1258 2.7294 1.2650
Si 2.1377 1.5097 3.6743
Si 2.1377 3.9491 3.6743
Si 4.7768 1.5097 1.2522
Si 4.7768 3.9491 1.2522
Si 4.7888 2.7294 3.6615
Si 6.8389 0.0000 1.2650
Si 6.8508 1.2197 3.6743
Si 6.8508 4.2390 3.6743
Ag -0.3939 2.7294 3.5870
Ag 2.5954 0.0000 1.3395
Ag 4.3192 0.0000 3.5870
Ag 7.3085 2.7294 1.3395
```

---

First-principles (SCAN) data for a crystal of SiAg relaxed with PBEsol, as listed in Alexandria via LeMat-Bulk.

Calculated values
* uncorrected formation energy: 0.474 eV per atom
* energy above the lowest structure with this stoichiometry: 64 meV/atom

Geometry as extended XYZ:
```
8
Lattice="3.9841 0.0000 0.0000 0.0000 3.9841 0.0000 0.0000 0.0000 8.0369" Properties=species:S:1:pos:R:3 pbc="T T T"
Si 0.0000 0.9960 3.0139
Si 0.0000 2.9881 5.0231
Si 1.9920 0.9960 1.0046
Si 1.9920 2.9881 7.0323
Ag 0.0000 0.9960 7.0323
Ag 0.0000 2.9881 1.0046
Ag 1.9920 0.9960 5.0231
Ag 1.9920 2.9881 3.0139
```

---

First-principles (SCAN) data for a crystal of Si3Ag relaxed with PBEsol, as listed in Alexandria via LeMat-Bulk.

Calculated values
* uncorrected formation energy: 0.581 eV per atom
* energy above the lowest structure with this stoichiometry: 13 meV/atom

Geometry as extended XYZ:
```
4
Lattice="2.7818 0.0000 0.0000 -1.3909 2.4091 0.0000 0.0000 0.0000 8.9850" Properties=species:S:1:pos:R:3 pbc="T T T"
Si 0.0000 0.0000 0.0000
Si 0.0000 1.6061 2.1423
Si 0.0000 1.6061 6.8427
Ag 0.0000 0.0000 4.4925
```

---

First-principles (SCAN) data for a crystal of SiAg2 relaxed with PBEsol, as listed in Alexandria via LeMat-Bulk.

Calculated values
* uncorrected formation energy: 0.221 eV per atom

Geometry as extended XYZ:
```
3
Lattice="4.3799 0.0000 0.0000 0.0000 4.3799 0.0000 0.0000 0.0000 2.8038" Properties=species:S:1:pos:R:3 pbc="T T T"
Si 0.0000 0.0000 0.0000
Ag 0.0000 2.1900 1.4019
Ag 2.1900 0.0000 1.4019
```

---

First-principles (SCAN) data for a crystal of Si5Ag relaxed with PBEsol, as listed in Alexandria via LeMat-Bulk.

Calculated values
* uncorrected formation energy: 0.689 eV per atom

Geometry as extended XYZ:
```
6
Lattice="4.6487 0.0000 0.0000 -2.3244 4.0259 0.0000 0.0000 0.0000 4.8328" Properties=species:S:1:pos:R:3 pbc="T T T"
Si -1.5335 2.6560 0.0000
Si 0.0000 2.6839 2.4164
Si 0.7909 1.3699 0.0000
Si 3.0669 0.0000 0.0000
Si 2.3244 1.3420 2.4164
Ag 0.0000 0.0000 2.4164
```

---

First-principles (SCAN) data for a crystal of Si7Ag relaxed with PBEsol, as listed in Alexandria via LeMat-Bulk.

Calculated values
* uncorrected formation energy: 0.712 eV per atom

Geometry as extended XYZ:
```
8
Lattice="0.0000 3.9063 3.9063 3.9063 0.0000 3.9063 3.9063 3.9063 0.0000" Properties=species:S:1:pos:R:3 pbc="T T T"
Si 0.0000 0.0000 0.0000
Si 1.9531 1.9531 0.0000
Si 1.9531 0.0000 1.9531
Si 3.9063 1.9531 1.9531
Si 0.0000 1.9531 1.9531
Si 1.9531 3.9063 1.9531
Si 1.9531 1.9531 3.9063
Ag 3.9063 3.9063 3.9063
```

---

First-principles (SCAN) data for a crystal of SiAg relaxed with PBEsol, as listed in Alexandria via LeMat-Bulk.

Calculated values
* uncorrected formation energy: 0.431 eV per atom
* energy above the lowest structure with this stoichiometry: 22 meV/atom

Geometry as extended XYZ:
```
4
Lattice="4.1052 0.0000 0.0000 -2.0526 3.5552 0.0000 0.0000 0.0000 4.7861" Properties=species:S:1:pos:R:3 pbc="T T T"
Si 0.0000 0.0000 0.0000
Si 0.0000 0.0000 2.3931
Ag 0.0000 2.3701 1.1965
Ag 2.0526 1.1851 3.5896
```

---

First-principles (SCAN) data for a crystal of Si3Ag relaxed with PBEsol, as listed in Alexandria via LeMat-Bulk.

Calculated values
* uncorrected formation energy: 0.648 eV per atom
* energy above the lowest structure with this stoichiometry: 80 meV/atom

Geometry as extended XYZ:
```
4
Lattice="2.7253 0.0000 0.0000 0.0000 3.8793 0.0000 0.0000 0.0000 5.8254" Properties=species:S:1:pos:R:3 pbc="T T T"
Si 0.0000 0.0000 0.0000
Si 1.3626 1.9397 1.3439
Si 1.3626 1.9397 4.4816
Ag 0.0000 0.0000 2.9127
```

---

First-principles (SCAN) data for a crystal of Si3Ag relaxed with PBEsol, as listed in Alexandria via LeMat-Bulk.

Calculated values
* uncorrected formation energy: 0.596 eV per atom
* energy above the lowest structure with this stoichiometry: 28 meV/atom

Geometry as extended XYZ:
```
8
Lattice="2.7140 0.0000 0.0000 0.0000 4.6012 0.0000 0.0000 0.0000 9.9653" Properties=species:S:1:pos:R:3 pbc="T T T"
Si 0.0000 0.0000 0.0000
Si 0.0000 2.3006 2.7524
Si 0.0000 2.3006 7.2128
Si 1.3570 0.0000 2.2302
Si 1.3570 0.0000 7.7351
Si 1.3570 2.3006 4.9826
Ag 0.0000 0.0000 4.9826
Ag 1.3570 2.3006 0.0000
```

---

First-principles (SCAN) data for a crystal of Si3Ag relaxed with PBEsol, as listed in Alexandria via LeMat-Bulk.

Calculated values
* uncorrected formation energy: 0.633 eV per atom
* energy above the lowest structure with this stoichiometry: 65 meV/atom

Geometry as extended XYZ:
```
4
Lattice="4.8263 0.0000 0.0000 0.0000 4.8263 0.0000 0.0000 0.0000 2.6479" Properties=species:S:1:pos:R:3 pbc="T T T"
Si 0.0000 0.0000 0.0000
Si 0.0000 2.4132 1.3240
Si 2.4132 0.0000 1.3240
Ag 2.4132 2.4132 0.0000
```

---

First-principles (SCAN) data for a crystal of SiAg7 relaxed with PBEsol, as listed in Alexandria via LeMat-Bulk.

Calculated values
* uncorrected formation energy: 0.105 eV per atom

Geometry as extended XYZ:
```
8
Lattice="0.0000 4.0241 4.0241 4.0241 0.0000 4.0241 4.0241 4.0241 0.0000" Properties=species:S:1:pos:R:3 pbc="T T T"
Si 0.0000 0.0000 0.0000
Ag 2.0121 2.0121 0.0000
Ag 2.0121 0.0000 2.0121
Ag 4.0241 2.0121 2.0121
Ag 0.0000 2.0121 2.0121
Ag 2.0121 4.0241 2.0121
Ag 2.0121 2.0121 4.0241
Ag 4.0241 4.0241 4.0241
```

---

First-principles (SCAN) data for a crystal of SiAg relaxed with PBEsol, as listed in Alexandria via LeMat-Bulk.

Calculated values
* uncorrected formation energy: 0.478 eV per atom
* energy above the lowest structure with this stoichiometry: 69 meV/atom

Geometry as extended XYZ:
```
2
Lattice="2.8569 0.0000 0.0000 -1.4284 2.4741 0.0000 0.0000 0.0000 4.5028" Properties=species:S:1:pos:R:3 pbc="T T T"
Si 0.0000 0.0000 0.0000
Ag 1.4284 0.8247 2.2514
```

---

First-principles (SCAN) data for a crystal of SiAg4 relaxed with PBEsol, as listed in Alexandria via LeMat-Bulk.

Calculated values
* uncorrected formation energy: 0.499 eV per atom
* energy above the lowest structure with this stoichiometry: 405 meV/atom

Geometry as extended XYZ:
```
10
Lattice="3.6568 0.0000 0.0000 0.0000 3.6568 0.0000 0.0000 0.0000 13.8467" Properties=species:S:1:pos:R:3 pbc="T T T"
Si 0.0000 0.0000 0.0000
Si 1.8284 1.8284 6.9234
Ag 0.0000 0.0000 5.6069
Ag 0.0000 0.0000 8.2398
Ag 0.0000 1.8284 3.4617
Ag 0.0000 1.8284 10.3850
Ag 1.8284 0.0000 3.4617
Ag 1.8284 0.0000 10.3850
Ag 1.8284 1.8284 1.3165
Ag 1.8284 1.8284 12.5302
```

---

First-principles (SCAN) data for a crystal of Si8Ag relaxed with PBEsol, as listed in Alexandria via LeMat-Bulk.

Calculated values
* uncorrected formation energy: 0.675 eV per atom

Geometry as extended XYZ:
```
9
Lattice="-3.9519 3.9519 2.1341 3.9519 -3.9519 2.1341 3.9519 3.9519 -2.1341" Properties=species:S:1:pos:R:3 pbc="T T T"
Si 2.7017 0.0000 0.0000
Si 5.2020 0.0000 0.0000
Si 2.6174 2.6174 0.0000
Si 1.3344 -1.3344 2.1341
Si 0.0000 2.7017 0.0000
Si 0.0000 5.2020 0.0000
Si -1.3344 1.3344 2.1341
Si 1.3344 1.3344 2.1341
Ag 0.0000 0.0000 0.0000
```

---

First-principles (SCAN) data for a crystal of SiAg relaxed with PBEsol, as listed in Alexandria via LeMat-Bulk.

Calculated values
* uncorrected formation energy: 0.409 eV per atom
* energy above the lowest structure with this stoichiometry: 0 meV/atom

Geometry as extended XYZ:
```
8
Lattice="3.4801 0.0000 0.0000 0.0000 4.4006 0.0000 0.0000 0.0000 8.1946" Properties=species:S:1:pos:R:3 pbc="T T T"
Si 0.0000 1.1002 0.9307
Si 0.0000 3.3005 7.2639
Si 1.7401 1.1002 7.2639
Si 1.7401 3.3005 0.9307
Ag 0.0000 1.1002 5.2051
Ag 0.0000 3.3005 2.9895
Ag 1.7401 1.1002 2.9895
Ag 1.7401 3.3005 5.2051
```